(1)
This record from Alexandria describes a geometry-optimized BeCd2P structure. The functional is PBE.

For the total energy, the calculation gives -2.52 eV/atom. The value obtained for the formation energy is 0.22 eV per atom.

The space group is Pmm2 (No. 25) and the conventional cell measures 2.826, 3.431 and 7.969 Å, with angles of 90.00, 90.00 and 90.00 degrees. The distinct sites, in fractional coordinates, are Be at (0.000, 0.000, 0.000), Cd at (0.000, 0.000, 0.676), Cd at (0.500, 0.500, 0.400) and P at (0.500, 0.500, 0.071).

---

(2)
This record from Alexandria describes a geometry-optimized BeCd2P structure. The functional is PBE.

For the total energy, the calculation gives -2.23 eV/atom. The value obtained for the formation energy is 0.51 eV per atom.

The space group is C2/m (No. 12) and the conventional cell measures 5.560, 6.635 and 3.976 Å, with angles of 90.00, 98.66 and 90.00 degrees. The distinct sites, in fractional coordinates, are Be at (0.000, 0.000, 0.000), Cd at (0.250, 0.250, 0.500) and P at (0.000, 0.500, 0.000).

---

(3)
This record from Alexandria describes a geometry-optimized Be2CdP structure. The functional is PBE.

For the total energy, the calculation gives -2.96 eV/atom. The value obtained for the formation energy is 0.49 eV per atom.

The space group is R3m (No. 160, hexagonal axes) and the conventional cell measures 2.7601, 2.7601 and 27.8286 Å, with angles of 90.00, 90.00 and 120.00 degrees. The distinct sites, in fractional coordinates, are Be at (0.0000, 0.0000, 0.0000), Be at (0.0000, 0.0000, 0.2717), Cd at (0.0000, 0.0000, 0.7547) and P at (0.0000, 0.0000, 0.5474).

---

(4)
This record from Alexandria describes a geometry-optimized Be2CdP structure. The functional is PBE.

For the total energy, the calculation gives -2.91 eV/atom. The value obtained for the formation energy is 0.53 eV per atom.

The space group is Immm (No. 71) and the conventional cell measures 3.341, 5.214 and 7.013 Å, with angles of 90.00, 90.00 and 90.00 degrees. The distinct sites, in fractional coordinates, are Be at (0.000, 0.000, 0.192), Cd at (0.000, 0.500, 0.000) and P at (0.000, 0.500, 0.500).

---

(5)
This record from Alexandria describes a geometry-optimized Be2CdP structure. The functional is PBE.

For the total energy, the calculation gives -2.85 eV/atom. The value obtained for the formation energy is 0.59 eV per atom.

The space group is Pmmm (No. 47) and the conventional cell measures 3.415, 3.583 and 4.590 Å, with angles of 90.00, 90.00 and 90.00 degrees. The distinct sites, in fractional coordinates, are Be at (0.000, 0.000, 0.000), Be at (0.000, 0.500, 0.500), Cd at (0.500, 0.000, 0.500) and P at (0.500, 0.500, 0.000).

---

(6)
This record from Alexandria describes a geometry-optimized BeCd2P structure. The functional is PBE.

For the total energy, the calculation gives -2.28 eV/atom. The value obtained for the formation energy is 0.46 eV per atom.

The space group is I-42d (No. 122) and the conventional cell measures 4.263, 4.263 and 16.956 Å, with angles of 90.00, 90.00 and 90.00 degrees. The distinct sites, in fractional coordinates, are Be at (0.000, 0.000, 0.000), Cd at (0.222, 0.250, 0.125) and P at (0.000, 0.000, 0.500).

---

(7)
This record from Alexandria describes a geometry-optimized Be2CdP structure. The functional is PBE.

For the total energy, the calculation gives -3.02 eV/atom. The value obtained for the formation energy is 0.43 eV per atom.

The space group is P4/mmm (No. 123) and the conventional cell measures 3.086, 3.086 and 5.778 Å, with angles of 90.00, 90.00 and 90.00 degrees. The distinct sites, in fractional coordinates, are Be at (0.000, 0.000, 0.178), Cd at (0.500, 0.500, 0.500) and P at (0.500, 0.500, 0.000).

---

(8)
This record from Alexandria describes a geometry-optimized BeCd2P structure. The functional is PBE.

For the total energy, the calculation gives -2.21 eV/atom. The value obtained for the formation energy is 0.53 eV per atom.

The space group is I4/mmm (No. 139) and the conventional cell measures 4.099, 4.099 and 8.489 Å, with angles of 90.00, 90.00 and 90.00 degrees. The distinct sites, in fractional coordinates, are Be at (0.000, 0.000, 0.000), Cd at (0.000, 0.500, 0.250) and P at (0.000, 0.000, 0.500).

---

(9)
This record from Alexandria describes a geometry-optimized Be2CdP structure. The functional is PBE.

For the total energy, the calculation gives -2.86 eV/atom. The value obtained for the formation energy is 0.59 eV per atom.

The space group is P4/mmm (No. 123) and the conventional cell measures 4.575, 4.575 and 2.656 Å, with angles of 90.00, 90.00 and 90.00 degrees. The distinct sites, in fractional coordinates, are Be at (0.000, 0.500, 0.000), Cd at (0.000, 0.000, 0.500) and P at (0.500, 0.500, 0.500).

---

(10)
This record from Alexandria describes a geometry-optimized Be2CdP structure. The functional is PBE.

For the total energy, the calculation gives -3.12 eV/atom. The value obtained for the formation energy is 0.33 eV per atom.

The space group is Pmm2 (No. 25) and the conventional cell measures 2.730, 3.367 and 6.341 Å, with angles of 90.00, 90.00 and 90.00 degrees. The distinct sites, in fractional coordinates, are Be at (0.000, 0.000, 0.000), Be at (0.500, 0.500, 0.209), Cd at (0.000, 0.000, 0.443) and P at (0.500, 0.500, 0.869).

---

(11)
This record from Alexandria describes a geometry-optimized Be2CdP structure. The functional is PBE.

For the total energy, the calculation gives -3.14 eV/atom. The value obtained for the formation energy is 0.30 eV per atom.

The space group is I-42d (No. 122) and the conventional cell measures 5.751, 5.751 and 9.020 Å, with angles of 90.00, 90.00 and 90.00 degrees. The distinct sites, in fractional coordinates, are Be at (0.168, 0.250, 0.125), Cd at (0.000, 0.000, 0.500) and P at (0.000, 0.000, 0.000).

---

(12)
This record from Alexandria describes a geometry-optimized BeCd2P structure. The functional is PBE.

For the total energy, the calculation gives -2.26 eV/atom. The value obtained for the formation energy is 0.48 eV per atom.

The space group is C2/m (No. 12) and the conventional cell measures 7.903, 2.999 and 6.386 Å, with angles of 90.00, 104.20 and 90.00 degrees. The distinct sites, in fractional coordinates, are Be at (0.000, 0.000, 0.000), Cd at (0.233, 0.500, 0.229) and P at (0.000, 0.500, 0.500).

---

Computed E above lowest polymorph (eV per atom) in order:
0.265 0.556 0.389 0.435 0.495 0.509 0.329 0.582 0.492 0.229 0.207 0.529